Material: AcNiI2O8
Method: DFT, PBE+U
State: relaxed Values from VASP.

Symmetry: P-3m1
Magnetization, μB per atom: 0.26
E_tot, eV per atom: -5.109

Cell and atoms, written as Quantum ESPRESSO input:
```
&SYSTEM
  ibrav = 0, nat = 12, ntyp = 4
/
ATOMIC_SPECIES
O 16.00 O.upf
Ni 58.69 Ni.upf
Ac 227.00 Ac.upf
I 126.90 I.upf
CELL_PARAMETERS angstrom
6.026 0.000 0.000
-3.013 5.219 0.000
0.000 0.000 6.848
ATOMIC_POSITIONS crystal
O 0.296 0.148 0.203
O 0.667 0.333 0.471
O 0.852 0.704 0.203
O 0.704 0.852 0.797
O 0.852 0.148 0.203
O 0.333 0.667 0.529
O 0.148 0.852 0.797
O 0.148 0.296 0.797
Ni 0.000 0.000 0.000
Ac 0.000 0.000 0.500
I 0.333 0.667 0.794
I 0.667 0.333 0.206
```